! Sm3Ge4Pd GGA-PBE relaxed; values from VASP
! Formation energy: -710 meV per atom
&SYSTEM
  ibrav = 0, nat = 8, ntyp = 3
/
ATOMIC_SPECIES
Ge 72.64 Ge.upf
Sm 150.36 Sm.upf
Pd 106.42 Pd.upf
CELL_PARAMETERS angstrom
-2.731 3.453 -0.118
-0.526 -0.214 5.914
7.427 2.990 -2.216
ATOMIC_POSITIONS crystal
Ge 0.377 0.589 0.755
Ge 0.623 0.411 0.245
Ge 0.623 0.834 0.245
Ge 0.377 0.166 0.755
Sm 0.808 0.808 0.616
Sm 0.192 0.192 0.384
Sm 0.000 0.500 0.000
Pd 0.500 0.000 0.000


! NaPuScF6 GGA-PBE relaxed; values from VASP
! Formation energy (no corrections): -3.397 eV/atom
&SYSTEM
  ibrav = 0, nat = 18, ntyp = 4
/
ATOMIC_SPECIES
Sc 44.96 Sc.upf
F 19.00 F.upf
Na 22.99 Na.upf
Pu 244.00 Pu.upf
CELL_PARAMETERS angstrom
-5.576 1.303 -0.337
3.055 -0.790 -4.790
-2.326 -9.917 0.153
ATOMIC_POSITIONS crystal
Sc 0.667 0.333 0.250
Sc 0.333 0.667 0.750
F 0.033 0.365 0.638
F 0.967 0.332 0.138
F 0.967 0.635 0.362
F 0.635 0.967 0.862
F 0.635 0.668 0.638
F 0.365 0.332 0.362
F 0.332 0.365 0.862
F 0.033 0.668 0.862
F 0.668 0.635 0.138
F 0.365 0.033 0.138
F 0.332 0.967 0.638
F 0.668 0.033 0.362
Na 0.667 0.333 0.750
Na 0.333 0.667 0.250
Pu 0.000 0.000 0.500
Pu 0.000 0.000 0.000


! LaTmHgBi GGA-PBE relaxed; values from VASP
! Formation energy: -532 meV per atom
&SYSTEM
  ibrav = 0, nat = 4, ntyp = 4
/
ATOMIC_SPECIES
Tm 168.93 Tm.upf
La 138.91 La.upf
Bi 208.98 Bi.upf
Hg 200.59 Hg.upf
CELL_PARAMETERS angstrom
5.475 0.000 0.000
2.737 4.741 0.000
2.737 1.580 4.470
ATOMIC_POSITIONS crystal
Tm 0.000 0.000 0.000
La 0.500 0.500 0.500
Bi 0.250 0.250 0.250
Hg 0.750 0.750 0.750


! ReAsAu GGA-PBE relaxed; values from VASP
! Offset from the most stable computed form: 0.44 eV/f.u.
! Formation energy: 458 meV per atom
&SYSTEM
  ibrav = 0, nat = 3, ntyp = 3
/
ATOMIC_SPECIES
Re 186.21 Re.upf
As 74.92 As.upf
Au 196.97 Au.upf
CELL_PARAMETERS angstrom
6.104 -0.044 0.000
4.646 3.960 0.000
-5.375 -1.958 2.130
ATOMIC_POSITIONS crystal
Re 0.653 0.653 0.000
As 0.025 0.025 0.000
Au 0.322 0.322 0.000


| no. | Fermi-level density of states (states/eV/f.u.) |
| --- | --- |
| 1 | 4.19 |
| 2 | 14.30 |
| 3 | 3.88 |
| 4 | 3.81 |